Ca3In12Sb5 PBE-GGA optimized geometry; calculated volume = 35.33 A^3/atom; E_form (uncorrected) = 0.0144 eV per atom; SG = Ia-3d
1.0
-8.907 8.907 8.907
8.907 -8.907 8.907
8.907 8.907 -8.907
Ca In Sb
12 48 20
Direct
0.125 0.250 0.375 Ca
0.125 0.375 0.750 Ca
0.250 0.375 0.125 Ca
0.250 0.875 0.625 Ca
0.375 0.125 0.250 Ca
0.375 0.750 0.125 Ca
0.625 0.250 0.875 Ca
0.625 0.875 0.750 Ca
0.750 0.125 0.375 Ca
0.750 0.625 0.875 Ca
0.875 0.625 0.250 Ca
0.875 0.750 0.625 Ca
0.049 0.230 0.110 In
0.049 0.319 0.939 In
0.061 0.610 0.380 In
0.061 0.951 0.681 In
0.110 0.049 0.230 In
0.110 0.561 0.880 In
0.120 0.730 0.681 In
0.120 0.890 0.439 In
0.181 0.230 0.620 In
0.181 0.451 0.561 In
0.230 0.110 0.049 In
0.230 0.620 0.181 In
0.270 0.319 0.880 In
0.270 0.451 0.390 In
0.319 0.880 0.270 In
0.319 0.939 0.049 In
0.380 0.061 0.610 In
0.380 0.819 0.770 In
0.390 0.270 0.451 In
0.390 0.620 0.939 In
0.439 0.120 0.890 In
0.439 0.819 0.549 In
0.451 0.390 0.270 In
0.451 0.561 0.181 In
0.549 0.439 0.819 In
0.549 0.610 0.730 In
0.561 0.181 0.451 In
0.561 0.880 0.110 In
0.610 0.380 0.061 In
0.610 0.730 0.549 In
0.620 0.181 0.230 In
0.620 0.939 0.390 In
0.681 0.061 0.951 In
0.681 0.120 0.730 In
0.730 0.549 0.610 In
0.730 0.681 0.120 In
0.770 0.380 0.819 In
0.770 0.890 0.951 In
0.819 0.549 0.439 In
0.819 0.770 0.380 In
0.880 0.110 0.561 In
0.880 0.270 0.319 In
0.890 0.439 0.120 In
0.890 0.951 0.770 In
0.939 0.049 0.319 In
0.939 0.390 0.620 In
0.951 0.681 0.061 In
0.951 0.770 0.890 In
0.000 0.000 0.000 Sb
0.000 0.000 0.500 Sb
0.000 0.500 0.000 Sb
0.000 0.500 0.500 Sb
0.125 0.750 0.875 Sb
0.125 0.875 0.250 Sb
0.250 0.125 0.875 Sb
0.250 0.625 0.375 Sb
0.375 0.250 0.625 Sb
0.375 0.625 0.750 Sb
0.500 0.000 0.000 Sb
0.500 0.000 0.500 Sb
0.500 0.500 0.000 Sb
0.500 0.500 0.500 Sb
0.625 0.375 0.250 Sb
0.625 0.750 0.375 Sb
0.750 0.375 0.625 Sb
0.750 0.875 0.125 Sb
0.875 0.125 0.750 Sb
0.875 0.250 0.125 Sb

---

Sr5C3 PBE-GGA optimized geometry; calculated volume = 25.91 A^3/atom; energy relative to the elements = 858 meV per atom; SG = P4/mmm
1.0
3.419 0.000 0.000
0.000 3.419 0.000
0.000 0.000 17.734
Sr C
5 3
Direct
0.000 0.000 0.000 Sr
0.000 0.000 0.183 Sr
0.000 0.000 0.817 Sr
0.500 0.500 0.415 Sr
0.500 0.500 0.585 Sr
0.000 0.000 0.500 C
0.500 0.500 0.107 C
0.500 0.500 0.893 C

---

ZrRe2PPb PBE-GGA optimized geometry; calculated volume = 24.53 A^3/atom; energy relative to the elements = 2425 meV per atom; SG = P4/mmm
1.0
5.000 0.000 0.000
0.000 5.000 0.000
0.000 0.000 4.906
Zr Re P Pb
1 2 1 1
Direct
0.000 0.000 0.000 Zr
0.000 0.500 0.500 Re
0.500 0.000 0.500 Re
0.500 0.500 0.000 P
0.500 0.500 0.500 Pb

---

SiPRu PBE-GGA optimized geometry; calculated volume = 13.99 A^3/atom; E_form (uncorrected) = -0.1776 eV per atom; SG = Pm
1.0
2.891 0.000 0.000
0.000 2.857 0.000
-1.433 0.000 5.080
Si P Ru
1 1 1
Direct
0.000 0.000 0.000 Si
0.705 0.000 0.404 P
0.347 0.500 0.694 Ru